The following is a GGA-PBE calculation of an optimized crystal structure of Pu4SeS3, from Alexandria.

- ρ (Mg/m³) = 10.314
- total DFT energy (no corrections) (eV/atom) = -10.765
- volume (A^3/atom) = 23.17
- formation energy (no corrections) (eV per atom) = -1.6161
- relative energy among the computed polymorphs (eV/atom) = 0.059

a b c (Å): 3.9059 3.9059 14.0270
angles (deg): 90.00 90.00 120.00
Space group P-3m1 (No. 164)
Asymmetric unit:
Pu (0.3333, 0.6667, 0.3654) x2
Pu (0.3333, 0.6667, 0.8780) x2
Se (0.0000, 0.0000, 0.5000) x1
S (0.0000, 0.0000, 0.0000) x1
S (0.0000, 0.0000, 0.2448) x2


The following is a GGA-PBE calculation of an optimized crystal structure of Na17Cd11Ge, from Alexandria.

- ρ (Mg/m³) = 3.594
- total DFT energy (no corrections) (eV/atom) = -1.356
- volume (A^3/atom) = 27.08
- energy relative to the elements (meV/atom) = -77

a b c (Å): 11.611 16.338 10.066
angles (deg): 90.00 124.65 90.00
Space group Cm (No. 8)
Asymmetric unit:
Na (0.000, 0.000, 0.000) x2
Na (0.006, 0.296, 0.661) x4
Na (0.042, 0.363, 0.348) x4
Na (0.087, 0.500, 0.633) x2
Na (0.198, 0.204, 0.034) x4
Na (0.315, 0.327, 0.345) x4
Na (0.318, 0.000, 0.075) x2
Na (0.333, 0.341, 0.762) x4
Na (0.335, 0.000, 0.691) x2
Na (0.436, 0.151, 0.950) x4
Na (0.487, 0.500, 0.344) x2
Cd (0.084, 0.092, 0.716) x4
Cd (0.170, 0.180, 0.532) x4
Cd (0.220, 0.409, 0.991) x4
Cd (0.270, 0.090, 0.349) x4
Cd (0.307, 0.500, 0.515) x2
Cd (0.492, 0.319, 0.166) x4
Ge (0.134, 0.500, 0.176) x2


The following is a GGA-PBE calculation of an optimized crystal structure of TaOsW2, from Alexandria.

- ρ (Mg/m³) = 17.208
- total DFT energy (no corrections) (eV/atom) = -11.460
- volume (A^3/atom) = 17.82
- energy relative to the elements (meV/atom) = 787
- relative energy among the computed polymorphs (eV/atom) = 0.845

a b c (Å): 7.357 7.357 5.269
angles (deg): 90.00 90.00 90.00
Space group I-42d (No. 122)
Asymmetric unit:
Ta (0.000, 0.000, 0.000) x4
Os (0.000, 0.000, 0.500) x4
W (0.227, 0.250, 0.625) x8


The following is a GGA-PBE calculation of an optimized crystal structure of ScTlGaAg, from Alexandria.

- ρ (Mg/m³) = 8.619
- total DFT energy (no corrections) (eV/atom) = -3.789
- volume (A^3/atom) = 20.56
- energy relative to the elements (meV/atom) = -145

a b c (Å): 6.904 6.904 6.904
angles (deg): 90.00 90.00 90.00
Space group F-43m (No. 216)
Asymmetric unit:
Sc (0.000, 0.000, 0.000) x4
Tl (0.250, 0.250, 0.750) x4
Ga (0.250, 0.250, 0.250) x4
Ag (0.000, 0.000, 0.500) x4


The following is a GGA-PBE calculation of an optimized crystal structure of LaMnRh2, from Alexandria.

- ρ (Mg/m³) = 8.243
- total DFT energy (no corrections) (eV/atom) = -7.435
- volume (A^3/atom) = 20.13
- energy relative to the elements (meV/atom) = -235

a b c (Å): 7.313 4.223 5.731
angles (deg): 90.00 114.50 90.00
Space group Cm (No. 8)
Asymmetric unit:
La (0.000, 0.000, 0.000) x2
Mn (0.307, 0.500, 0.432) x2
Rh (0.207, 0.000, 0.634) x2
Rh (0.460, 0.000, 0.389) x2


The following is a GGA-PBE calculation of an optimized crystal structure of AlCoCl, from Alexandria.

- ρ (Mg/m³) = 4.422
- total DFT energy (no corrections) (eV/atom) = -4.329
- volume (A^3/atom) = 15.19
- formation energy (no corrections) (eV per atom) = -0.0977
- relative energy among the computed polymorphs (eV/atom) = 0.000

a b c (Å): 3.1121 3.1121 5.4337
angles (deg): 90.00 90.00 120.00
Space group P3m1 (No. 156)
Asymmetric unit:
Al (0.0000, 0.0000, 0.0000) x1
Co (0.3333, 0.6667, 0.7138) x1
Cl (0.6667, 0.3333, 0.3587) x1


The following is a GGA-PBE calculation of an optimized crystal structure of ZrRh2, from Alexandria.

- ρ (Mg/m³) = 9.960
- total DFT energy (no corrections) (eV/atom) = -8.488
- volume (A^3/atom) = 16.51
- energy relative to the elements (meV/atom) = -738

a b c (Å): 5.546 4.335 8.239
angles (deg): 90.00 90.00 90.00
Space group Pnma (No. 62)
Asymmetric unit:
Zr (0.185, 0.250, 0.107) x4
Rh (0.052, 0.250, 0.772) x4
Rh (0.169, 0.250, 0.436) x4


The following is a GGA-PBE calculation of an optimized crystal structure of KNaLa2Ir, from Alexandria.

- ρ (Mg/m³) = 4.521
- total DFT energy (no corrections) (eV/atom) = -4.332
- volume (A^3/atom) = 39.09
- energy relative to the elements (meV/atom) = -105
- relative energy among the computed polymorphs (eV/atom) = 0.000

a b c (Å): 5.552 5.552 6.340
angles (deg): 90.00 90.00 90.00
Space group P4/mmm (No. 123)
Asymmetric unit:
K (0.000, 0.000, 0.000) x1
Na (0.500, 0.500, 0.000) x1
La (0.000, 0.500, 0.500) x2
Ir (0.500, 0.500, 0.500) x1


The following is a GGA-PBE calculation of an optimized crystal structure of Th2Co2Ge, from Alexandria.

- ρ (Mg/m³) = 10.670
- total DFT energy (no corrections) (eV/atom) = -7.158
- volume (A^3/atom) = 20.37
- energy relative to the elements (meV/atom) = -424

a b c (Å): 11.273 3.984 10.411
angles (deg): 90.00 119.38 90.00
Space group C2/m (No. 12)
Asymmetric unit:
Th (0.094, 0.000, 0.407) x4
Th (0.189, 0.500, 0.156) x4
Co (0.055, 0.000, 0.929) x4
Co (0.145, 0.500, 0.616) x4
Ge (0.092, 0.500, 0.826) x4


The following is a GGA-PBE calculation of an optimized crystal structure of AlSn3Ge, from Alexandria.

- ρ (Mg/m³) = 5.182
- total DFT energy (no corrections) (eV/atom) = -3.520
- volume (A^3/atom) = 29.21
- energy relative to the elements (meV/atom) = 554
- relative energy among the computed polymorphs (eV/atom) = 0.000

a b c (Å): 5.266 5.266 5.266
angles (deg): 90.00 90.00 90.00
Space group Pm-3m (No. 221)
Asymmetric unit:
Al (0.000, 0.000, 0.000) x1
Sn (0.000, 0.000, 0.500) x3
Ge (0.500, 0.500, 0.500) x1


The following is a GGA-PBE calculation of an optimized crystal structure of PuPaTlHg, from Alexandria.

- ρ (Mg/m³) = 13.555
- total DFT energy (no corrections) (eV/atom) = -6.464
- volume (A^3/atom) = 26.95
- energy relative to the elements (meV/atom) = 160

a b c (Å): 7.555 7.555 7.555
angles (deg): 90.00 90.00 90.00
Space group F-43m (No. 216)
Asymmetric unit:
Pu (0.000, 0.000, 0.000) x4
Pa (0.000, 0.000, 0.500) x4
Tl (0.250, 0.250, 0.250) x4
Hg (0.250, 0.250, 0.750) x4


The following is a GGA-PBE calculation of an optimized crystal structure of BiTeSN2, from Alexandria.

- ρ (Mg/m³) = 7.283
- total DFT energy (no corrections) (eV/atom) = -3.865
- volume (A^3/atom) = 18.09
- formation energy (no corrections) (eV per atom) = 1.6956
- relative energy among the computed polymorphs (eV/atom) = 0.541

a b c (Å): 4.173 4.173 5.193
angles (deg): 90.00 90.00 90.00
Space group P4/mmm (No. 123)
Asymmetric unit:
Bi (0.000, 0.000, 0.000) x1
Te (0.500, 0.500, 0.000) x1
S (0.500, 0.500, 0.500) x1
N (0.000, 0.500, 0.500) x2